[1]
This record from the Open Quantum Materials Database describes a relaxed structure of TlPd. The functional is PBE.

a b c (Å): 3.2763 3.2763 4.3167
angles (deg): 90.00 90.00 120.00
Space group P-6m2 (No. 187)
Inequivalent atoms, fractional coordinates:
Tl1 0.0000 0.0000 0.0000 [1 per cell]
Pd1 0.3333 0.6667 0.5000 [1 per cell]

Results
- crystal system = hexagonal
- final energy (eV/f.u.) = -7.7

=====

[2]
This record from the Open Quantum Materials Database describes a relaxed structure of Tl2Pd. The functional is PBE.

a b c (Å): 8.556 8.556 8.556
angles (deg): 90.00 90.00 90.00
Space group Fd-3m (No. 227, origin choice 2)
Inequivalent atoms, fractional coordinates:
Tl1 0.000 0.000 0.000 [16 per cell]
Pd1 0.125 0.125 0.625 [8 per cell]

Results
- crystal system = cubic
- final energy (eV/f.u.) = -8.3

=====

[3]
This record from the Open Quantum Materials Database describes a relaxed structure of TlPd124. The functional is PBE.

a b c (Å): 19.620 19.620 19.620
angles (deg): 90.00 90.00 90.00
Space group Fm-3m (No. 225)
Inequivalent atoms, fractional coordinates:
Tl1 0.000 0.000 0.000 [4 per cell]
Pd1 0.000 0.000 0.200 [24 per cell]
Pd2 0.000 0.000 0.400 [24 per cell]
Pd3 0.000 0.100 0.300 [96 per cell]
Pd4 0.000 0.101 0.101 [48 per cell]
Pd5 0.000 0.200 0.200 [48 per cell]
Pd6 0.100 0.100 0.200 [96 per cell]
Pd7 0.100 0.100 0.400 [32 per cell]
Pd8 0.100 0.200 0.300 [96 per cell]
Pd9 0.200 0.200 0.200 [32 per cell]

Results
- crystal system = cubic
- final energy (eV/f.u.) = -644.7

=====

[4]
This record from the Open Quantum Materials Database describes a relaxed structure of Tl9Pd13. The functional is PBE.

a b c (Å): 9.0877 9.0877 5.7062
angles (deg): 90.00 90.00 120.00
Space group P-3m1 (No. 164)
Inequivalent atoms, fractional coordinates:
Tl1 0.0000 0.0000 0.0000 [1 per cell]
Tl2 0.1933 0.3867 0.7465 [6 per cell]
Tl3 0.3333 0.6667 0.2489 [2 per cell]
Pd1 0.0000 0.0000 0.5000 [1 per cell]
Pd2 0.0000 0.5000 0.0000 [3 per cell]
Pd3 0.0000 0.5000 0.5000 [3 per cell]
Pd4 0.1591 0.3182 0.2524 [6 per cell]

Results
- offset from the most stable computed form (meV per atom) = 3
- crystal system = trigonal
- final energy (eV/f.u.) = -93.2